1.
In4Sn2HgPb | PBE | relaxed

CIF file:
```
data_In4Sn2HgPb
_space_group_name_H-M_alt 'I m m a'
_space_group_IT_number 74
_space_group_name_Hall '-I 2b 2'
_cell_length_a 8.707
_cell_length_b 8.784
_cell_length_c 12.341
_cell_angle_alpha 90.00
_cell_angle_beta 90.00
_cell_angle_gamma 90.00
loop_
_atom_site_label
_atom_site_type_symbol
_atom_site_fract_x
_atom_site_fract_y
_atom_site_fract_z
In1 In 0.000 0.015 0.248
In2 In 0.247 0.250 0.006
Sn1 Sn 0.000 0.000 0.000
Sn2 Sn 0.250 0.250 0.250
Hg1 Hg 0.000 0.000 0.500
Pb1 Pb 0.250 0.250 0.750
```

Properties
As for the energy relative to the elements: 0.73 eV/f.u. The calculation puts the theoretical density at 7.77 Mg/m³. For the total moment, the calculation gives 0.0000 μB per atom. For the density of states at the Fermi level, the calculation gives 15.98 states/eV/cell.

2.
Sr3InHg6Pb2 | PBE | relaxed

CIF file:
```
data_Sr3InHg6Pb2
_space_group_name_H-M_alt 'P -3 m 1'
_space_group_IT_number 164
_space_group_name_Hall '-P 3 2"'
_cell_length_a 6.4375
_cell_length_b 6.4375
_cell_length_c 9.9777
_cell_angle_alpha 90.00
_cell_angle_beta 90.00
_cell_angle_gamma 120.00
loop_
_atom_site_label
_atom_site_type_symbol
_atom_site_fract_x
_atom_site_fract_y
_atom_site_fract_z
Sr1 Sr 0.0000 0.0000 0.0000
Sr2 Sr 0.3333 0.6667 0.5988
In1 In 0.0000 0.0000 0.5000
Hg1 Hg 0.1763 0.3525 0.2667
Pb1 Pb 0.3333 0.6667 0.9656
```

Properties
As for the energy relative to the elements: -3.41 eV/f.u. The calculation puts the theoretical density at 9.25 Mg/m³. For the total moment, the calculation gives 0.0000 μB per atom. For the density of states at the Fermi level, the calculation gives 8.78 states/eV/cell.

3.
Sr2InHg6Pb | PBE | relaxed

CIF file:
```
data_Sr2InHg6Pb
_space_group_name_H-M_alt 'F m -3 m'
_space_group_IT_number 225
_space_group_name_Hall '-F 4 2 3'
_cell_length_a 11.321
_cell_length_b 11.321
_cell_length_c 11.321
_cell_angle_alpha 90.00
_cell_angle_beta 90.00
_cell_angle_gamma 90.00
loop_
_atom_site_label
_atom_site_type_symbol
_atom_site_fract_x
_atom_site_fract_y
_atom_site_fract_z
Sr1 Sr 0.250 0.250 0.250
In1 In 0.000 0.000 0.000
Hg1 Hg 0.000 0.000 0.245
Pb1 Pb 0.000 0.000 0.500
```

Properties
As for the energy relative to the elements: -0.10 eV/f.u. The calculation puts the theoretical density at 7.79 Mg/m³. For the total moment, the calculation gives 0.0000 μB per atom. For the density of states at the Fermi level, the calculation gives 23.06 states/eV/cell.

4.
Sr2InHg4Pb | PBE | relaxed

CIF file:
```
data_Sr2InHg4Pb
_space_group_name_H-M_alt 'R -3 m'
_space_group_IT_number 166
_space_group_name_Hall '-R 3 2"'
_cell_length_a 5.4349
_cell_length_b 5.4349
_cell_length_c 26.4993
_cell_angle_alpha 90.00
_cell_angle_beta 90.00
_cell_angle_gamma 120.00
loop_
_atom_site_label
_atom_site_type_symbol
_atom_site_fract_x
_atom_site_fract_y
_atom_site_fract_z
Sr1 Sr 0.0000 0.0000 0.2502
In1 In 0.0000 0.0000 0.5000
Hg1 Hg 0.0000 0.0000 0.1267
Hg2 Hg 0.0000 0.0000 0.3777
Pb1 Pb 0.0000 0.0000 0.0000
```

Properties
As for the energy relative to the elements: -3.26 eV/f.u. The calculation puts the theoretical density at 9.55 Mg/m³. For the total moment, the calculation gives 0.0000 μB per atom. For the density of states at the Fermi level, the calculation gives 13.06 states/eV/cell.

5.
TbInHgPb | PBE | relaxed

CIF file:
```
data_TbInHgPb
_space_group_name_H-M_alt 'P m m m'
_space_group_IT_number 47
_space_group_name_Hall '-P 2 2'
_cell_length_a 4.632
_cell_length_b 4.637
_cell_length_c 4.830
_cell_angle_alpha 90.00
_cell_angle_beta 90.00
_cell_angle_gamma 90.00
loop_
_atom_site_label
_atom_site_type_symbol
_atom_site_fract_x
_atom_site_fract_y
_atom_site_fract_z
Tb1 Tb 0.000 0.000 0.000
In1 In 0.500 0.000 0.500
Hg1 Hg 0.000 0.500 0.500
Pb1 Pb 0.500 0.500 0.000
```

Properties
As for the energy relative to the elements: -1.49 eV/f.u. The calculation puts the theoretical density at 10.91 Mg/m³. For the total moment, the calculation gives 0.0000 μB per atom. For the density of states at the Fermi level, the calculation gives 1.17 states/eV/cell. The value obtained for the relative energy among the computed polymorphs is 0 meV per atom.

6.
Tb2In3Hg6Pb | PBE | relaxed

CIF file:
```
data_Tb2In3Hg6Pb
_space_group_name_H-M_alt 'P 4/m m m'
_space_group_IT_number 123
_space_group_name_Hall '-P 4 2'
_cell_length_a 4.409
_cell_length_b 4.409
_cell_length_c 22.286
_cell_angle_alpha 90.00
_cell_angle_beta 90.00
_cell_angle_gamma 90.00
loop_
_atom_site_label
_atom_site_type_symbol
_atom_site_fract_x
_atom_site_fract_y
_atom_site_fract_z
Tb1 Tb 0.000 0.000 0.211
In1 In 0.500 0.500 0.235
In2 In 0.500 0.500 0.500
Hg1 Hg 0.000 0.500 0.109
Hg2 Hg 0.500 0.500 0.367
Pb1 Pb 0.000 0.000 0.000
```

Properties
As for the energy relative to the elements: 0.73 eV/f.u. The calculation puts the theoretical density at 7.94 Mg/m³. For the total moment, the calculation gives 0.0000 μB per atom. For the density of states at the Fermi level, the calculation gives 7.91 states/eV/cell.

7.
TbInHgPb | PBE | relaxed

CIF file:
```
data_TbInHgPb
_space_group_name_H-M_alt 'F -4 3 m'
_space_group_IT_number 216
_space_group_name_Hall 'F -4 2 3'
_cell_length_a 7.620
_cell_length_b 7.620
_cell_length_c 7.620
_cell_angle_alpha 90.00
_cell_angle_beta 90.00
_cell_angle_gamma 90.00
loop_
_atom_site_label
_atom_site_type_symbol
_atom_site_fract_x
_atom_site_fract_y
_atom_site_fract_z
Tb1 Tb 0.000 0.000 0.000
In1 In 0.250 0.250 0.750
Hg1 Hg 0.250 0.250 0.250
Pb1 Pb 0.000 0.000 0.500
```

Properties
As for the energy relative to the elements: -0.77 eV/f.u. The calculation puts the theoretical density at 10.23 Mg/m³. For the total moment, the calculation gives 0.0000 μB per atom. For the density of states at the Fermi level, the calculation gives 10.06 states/eV/cell. The value obtained for the relative energy among the computed polymorphs is 180 meV per atom.

8.
Tb2InHg4Pb2 | PBE | relaxed

CIF file:
```
data_Tb2InHg4Pb2
_space_group_name_H-M_alt 'I 4/m m m'
_space_group_IT_number 139
_space_group_name_Hall '-I 4 2'
_cell_length_a 6.902
_cell_length_b 6.902
_cell_length_c 10.697
_cell_angle_alpha 90.00
_cell_angle_beta 90.00
_cell_angle_gamma 90.00
loop_
_atom_site_label
_atom_site_type_symbol
_atom_site_fract_x
_atom_site_fract_y
_atom_site_fract_z
Tb1 Tb 0.000 0.000 0.216
In1 In 0.000 0.000 0.500
Hg1 Hg 0.219 0.219 0.000
Pb1 Pb 0.000 0.500 0.250
```

Properties
As for the energy relative to the elements: -0.96 eV/f.u. The calculation puts the theoretical density at 10.75 Mg/m³. For the total moment, the calculation gives 0.0000 μB per atom. For the density of states at the Fermi level, the calculation gives 12.65 states/eV/cell.